Record 1
The following is a DFT calculation (PBE) of crystalline NaZnBRu2 at its relaxed geometry.

Values from the calculation:
Energy above the lowest structure with this stoichiometry: 1.154 eV per atom
Space group: P4/mmm (123)
DFT formation energy: 2.69 eV per atom
Magnetic moment: 0.55 μB per atom

a b c (Å): 4.5815 4.5815 4.3455
angles (deg): 90.00 90.00 90.00
Last column: nearest neighbours and their distance in Å.
Element x y z (fractional)
Na: 0.0000 0.0000 0.0000  2 Zn 2.17, 4 Ru 2.29
Zn: 0.0000 0.0000 0.5000  2 Na 2.17
B: 0.5000 0.5000 0.5000  8 Ru 3.16, 4 Zn 3.24
Ru: 0.0000 0.5000 0.0000  2 Na 2.29
Ru: 0.5000 0.0000 0.0000  2 Na 2.29

Record 2
The following is a DFT calculation (PBE) of crystalline BaNa2Si2 at its relaxed geometry.

Values from the calculation:
Energy above the lowest structure with this stoichiometry: 0.013 eV per atom
Space group: I4/mmm (139)
Magnetic moment: 0.00 μB per atom

a b c (Å): 7.1874 7.1874 7.1874
angles (deg): 141.37 141.37 55.77
Last column: nearest neighbours and their distance in Å.
Element x y z (fractional)
Ba: 0.0000 0.0000 0.0000  8 Si 3.55, 8 Na 3.97
Na: 0.2500 0.7500 0.5000  4 Si 3.13, 4 Na 3.36
Na: 0.7500 0.2500 0.5000  4 Si 3.13, 4 Na 3.36
Si: 0.4104 0.4104 0.0000  1 Si 2.28
Si: 0.5896 0.5896 0.0000  1 Si 2.28

Q: Which value of magnetic moment does entry 1 give?
A: 0.55 μB per atom

Q: What is the energy above the lowest structure with this stoichiometry in the second record?
A: 0.013 eV per atom

Q: Look up the energy above the lowest structure with this stoichiometry of the second one.
A: 0.013 eV per atom

Q: Look up the energy above the lowest structure with this stoichiometry of the second one.
A: 0.013 eV per atom